Record 1
ZrNi7Sn2As2 PBE optimized geometry; energy of formation = -5.90 kcal/mol of atoms; total energy = -5.78 eV per atom
1.0
-2.549 -1.185 2.330
1.105 -3.438 -0.542
8.847 -0.999 12.042
Zr As Ni Sn
1 2 7 2
direct
0.000 0.000 0.000
0.383 0.383 0.233
0.617 0.617 0.767
0.567 0.067 0.867
0.433 0.933 0.133
0.694 0.694 0.611
0.306 0.306 0.389
0.067 0.567 0.867
0.933 0.433 0.133
0.500 0.500 0.000
0.212 0.212 0.575
0.788 0.788 0.425

---

Record 2
Sr2NiAs3 PBE optimized geometry; energy of formation = -17.44 kcal/mol of atoms; total energy = -4.61 eV per atom
1.0
-0.927 -1.783 -6.092
6.338 -0.882 -0.448
-3.497 -5.414 5.365
Sr As Ni
4 6 2
direct
0.250 0.750 0.500
0.750 0.250 0.500
0.765 0.765 0.000
0.235 0.235 0.000
0.201 0.624 0.825
0.165 0.165 0.330
0.624 0.201 0.825
0.376 0.799 0.175
0.835 0.835 0.670
0.799 0.376 0.175
0.674 0.674 0.347
0.326 0.326 0.653

---

Record 3
Sr2NiAs PBE optimized geometry; energy of formation = -2.89 kcal/mol of atoms; total energy = -3.57 eV per atom
1.0
-5.327 5.275 -3.044
1.471 -2.811 -7.444
-4.442 -1.087 -4.865
Ni Sr As
2 4 2
direct
0.250 0.750 0.500
0.500 0.500 0.000
0.141 0.625 0.250
0.375 0.391 0.750
0.609 0.125 0.250
0.875 0.859 0.750
0.000 0.000 0.000
0.750 0.250 0.500

---

Record 4
SrNiAs PBE optimized geometry; energy of formation = -6.18 kcal/mol of atoms; total energy = -4.31 eV per atom
1.0
5.910 0.016 -0.017
4.883 3.312 -0.014
1.027 0.280 3.284
Sr Ni As
1 1 1
direct
0.665 0.665 0.335
0.386 0.386 0.614
0.950 0.950 0.050

---

Record 5
Sr3Ni4As4 PBE optimized geometry; energy of formation = -16.57 kcal/mol of atoms; total energy = -4.97 eV per atom
1.0
-3.189 2.905 -0.258
-0.648 -1.064 -3.975
-9.864 -7.494 1.445
As Sr Ni
4 3 4
direct
0.442 0.444 0.113
0.699 0.199 0.602
0.558 0.556 0.887
0.301 0.801 0.398
0.151 0.651 0.699
0.849 0.349 0.301
0.000 0.000 0.000
0.249 0.249 0.502
0.751 0.751 0.498
0.601 0.100 0.800
0.399 0.900 0.200

---

Record 6
SrNi2As PBE optimized geometry; energy of formation = 4.71 kcal/mol of atoms; total energy = -4.27 eV per atom
1.0
-1.817 -4.172 1.076
0.260 -3.524 -3.063
2.822 -3.631 0.847
Ni Sr As
2 1 1
direct
0.000 0.000 0.000
0.750 0.750 0.750
0.250 0.250 0.250
0.500 0.500 0.500

---

Record 7
Sr2NiAs PBE optimized geometry; energy of formation = -4.84 kcal/mol of atoms; total energy = -3.66 eV per atom
1.0
-3.388 -0.488 -5.167
0.948 -4.768 -3.844
-0.904 0.955 6.056
Sr Ni As
2 1 1
direct
0.000 0.000 0.000
0.250 0.750 0.500
0.750 0.250 0.500
0.500 0.500 0.000

---

Record 8
Sr3Ni2As4 PBE optimized geometry; energy of formation = -18.59 kcal/mol of atoms; total energy = -4.72 eV per atom
1.0
4.297 0.000 0.000
-2.149 5.710 -0.705
0.000 0.155 8.427
As Sr Ni
4 3 2
direct
0.717 0.433 0.071
0.934 0.868 0.625
0.283 0.567 0.929
0.066 0.132 0.375
0.659 0.317 0.663
0.000 0.000 0.000
0.341 0.683 0.337
0.609 0.218 0.285
0.391 0.782 0.715

---

Q: What is the energy of formation in the first record?
A: -5.90 kcal/mol of atoms